First-principles (PBE) data for a geometry-optimized K2ReC structure, as listed in Alexandria via LeMat-Bulk.

a = 12.085 Å, b = 12.085 Å, c = 8.770 Å
α = 46.45°, β = 46.45°, γ = 90.00°
Last column: magnetic moment on the atom in μB.
Fractional coordinates of all 8 atoms:
Re  0.000  0.000  0.000  1.61
Re  0.750  0.250  0.500  1.61
K  0.394  0.125  0.250  0.00
K  0.356  0.625  0.250  0.00
K  0.375  0.606  0.750  0.00
K  0.875  0.644  0.750  0.00
C  0.500  0.500  0.000  -0.23
C  0.250  0.750  0.500  -0.23

Output
Formation energy, eV/atom: 1.06
Theoretical density, g cm⁻³: 3.2
Magnetic moment, μB per formula unit: 1.55
Calculated total energy, eV per atom: -4.91
Symmetry: I-42d, No. 122